(1)
First-principles (PBE-GGA) data for a relaxed structure of CsAsI2O, as listed in Alexandria via LeMat-Bulk.

a b c (Å): 6.8585 6.8585 4.3498
angles (deg): 90.00 90.00 90.00
Closest atoms and distances in Å follow each position.
Space group P4/mmm (No. 123)
Inequivalent atoms, fractional coordinates:
Cs  0.0000  0.0000  0.0000 [1 per cell]  2 O 2.17
As  0.5000  0.5000  0.5000 [1 per cell]  8 I 4.06, 2 As 4.35
I  0.0000  0.5000  0.0000 [2 per cell]  2 Cs 3.43
O  0.0000  0.0000  0.5000 [1 per cell]  2 Cs 2.17

Values from the calculation:
formation energy (no corrections): 0.701 eV/atom
mass density: 3.9 Mg/m³
DOS at the Fermi energy: 2.228 states/eV per atom

***

(2)
First-principles (PBE-GGA) data for a relaxed structure of Zr4MnCu, as listed in Alexandria via LeMat-Bulk.

a b c (Å): 6.4909 6.4909 5.4966
angles (deg): 90.00 90.00 90.00
Closest atoms and distances in Å follow each position.
Space group P4/mcc (No. 124)
Inequivalent atoms, fractional coordinates:
Zr  0.1572  0.3247  0.0000 [8 per cell]  2 Mn 2.72, 2 Cu 2.85
Mn  0.0000  0.0000  0.2500 [2 per cell]  8 Zr 2.72, 2 Mn 2.75
Cu  0.5000  0.5000  0.2500 [2 per cell]  2 Cu 2.75, 8 Zr 2.85

Values from the calculation:
mass density: 6.9 Mg/m³
DOS at the Fermi energy: 1.253 states/eV per atom
formation enthalpy at 0 K: -80 meV per atom

***

(3)
First-principles (PBE-GGA) data for a relaxed structure of NaCd3Au, as listed in Alexandria via LeMat-Bulk.

a b c (Å): 7.0798 7.0798 5.8090
angles (deg): 90.00 90.00 120.00
Closest atoms and distances in Å follow each position.
Space group P6_3/mmc (No. 194)
Inequivalent atoms, fractional coordinates:
Na  0.3333  0.6667  0.2500 [2 per cell]  12 Cd 3.36-3.56
Cd  0.1958  0.3916  0.7500 [6 per cell]  2 Au 2.81, 2 Cd 2.92
Au  0.0000  0.0000  0.0000 [2 per cell]  6 Cd 2.81, 2 Au 2.90

Values from the calculation:
mass density: 7.3 Mg/m³
DOS at the Fermi energy: 0.356 states/eV per atom
formation enthalpy at 0 K: -99 meV per atom

***

(4)
First-principles (PBE-GGA) data for a relaxed structure of KNa2HgBi, as listed in Alexandria via LeMat-Bulk.

a b c (Å): 6.0368 6.0368 6.0754
angles (deg): 90.00 90.00 90.00
Closest atoms and distances in Å follow each position.
Space group P4/mmm (No. 123)
Inequivalent atoms, fractional coordinates:
K  0.0000  0.0000  0.0000 [1 per cell]  4 Hg 4.27, 8 Na 4.28
Na  0.0000  0.5000  0.5000 [2 per cell]  2 Bi 3.02
Hg  0.5000  0.5000  0.0000 [1 per cell]  2 Bi 3.04
Bi  0.5000  0.5000  0.5000 [1 per cell]  4 Na 3.02, 2 Hg 3.04

Values from the calculation:
mass density: 3.7 Mg/m³
DOS at the Fermi energy: 0.527 states/eV per atom
formation enthalpy at 0 K: -128 meV per atom

***

(5)
First-principles (PBE-GGA) data for a relaxed structure of CdCuOs2, as listed in Alexandria via LeMat-Bulk.

a b c (Å): 3.8354 3.8354 18.9502
angles (deg): 90.00 90.00 90.00
Closest atoms and distances in Å follow each position.
Space group I-42d (No. 122)
Inequivalent atoms, fractional coordinates:
Cd  0.0000  0.0000  0.0000 [4 per cell]  4 Cu 2.71, 4 Os 2.84
Cu  0.0000  0.0000  0.5000 [4 per cell]  4 Os 2.65, 4 Cd 2.71
Os  0.1795  0.2500  0.6250 [8 per cell]  2 Os 2.36

Values from the calculation:
mass density: 13.3 Mg/m³
DOS at the Fermi energy: 0.824 states/eV per atom
formation enthalpy at 0 K: 856 meV per atom

***

(6)
First-principles (PBE-GGA) data for a relaxed structure of Ga3Hg2, as listed in Alexandria via LeMat-Bulk.

a b c (Å): 8.0567 8.0567 12.2797
angles (deg): 90.00 90.00 120.00
Closest atoms and distances in Å follow each position.
Space group R-3c (No. 167, hexagonal axes)
Inequivalent atoms, fractional coordinates:
Ga  0.0000  0.3131  0.2500 [18 per cell]  4 Hg 2.81-2.97
Hg  0.0000  0.0000  0.1228 [12 per cell]  6 Ga 2.81-2.97, 2 Hg 3.02-3.12

Values from the calculation:
mass density: 8.8 Mg/m³
DOS at the Fermi energy: 0.356 states/eV per atom
formation enthalpy at 0 K: 128 meV per atom

***

- What is the DOS at the Fermi energy in the first record?
  2.228 states/eV per atom